# PrCdHg, relaxed, DFT PBE-GGA
# E_form	-0.28	eV/atom
# DOS at the Fermi energy	5.60	states/eV/f.u.
# electronic total energy	-27.3	eV/cell
data_PrCdHg
_chemical_formula_sum 'Pr4 Cd4 Hg4'
_cell_length_a 7.100
_cell_length_b 7.100
_cell_length_c 7.100
_cell_angle_alpha 90.00
_cell_angle_beta 90.00
_cell_angle_gamma 90.00
_space_group_name_H-M_alt 'F -4 3 m'
_space_group_IT_number 216
_space_group_name_Hall 'F -4 2 3'
loop_
_atom_site_label
_atom_site_type_symbol
_atom_site_fract_x
_atom_site_fract_y
_atom_site_fract_z
Pr1 Pr 0.000 0.000 0.000
Cd1 Cd 0.000 0.000 0.500
Hg1 Hg 0.250 0.250 0.750